The following is a DFT calculation (PBE-GGA) of Nd2Dy3Y6Zr after structural relaxation.

Geometry as POSCAR:
```
Nd2Dy3Y6Zr
1.0
3.074 -5.317 0.000
3.074 5.317 0.000
-2.035 0.000 11.558
Nd Dy Y Zr
2 3 6 1
Direct
0.167 0.833 0.000
0.833 0.167 0.000
0.000 0.000 0.500
0.334 0.666 0.500
0.666 0.334 0.500
0.091 0.418 0.753
0.256 0.256 0.247
0.418 0.091 0.753
0.582 0.909 0.247
0.744 0.744 0.753
0.909 0.582 0.247
0.500 0.500 0.000
```

* energy: -5.834 eV per atom
* DFT formation energy: 0.056 eV/atom
* space group: C2/m, No. 12
* total magnetic moment: 0.00 μB per atom
* Fermi-level density of states: 16.05 states/eV/cell


The following is a DFT calculation (PBE-GGA) of Nd3DyZn8 after structural relaxation.

Geometry as POSCAR:
```
Nd3DyZn8
1.0
5.666 0.000 0.000
-2.833 4.907 0.000
0.000 0.000 8.718
Nd Dy Zn
3 1 8
Direct
0.000 0.000 0.000
0.000 0.000 0.396
0.333 0.667 0.893
0.333 0.667 0.504
0.000 0.500 0.202
0.339 0.170 0.696
0.500 0.000 0.202
0.500 0.500 0.202
0.667 0.333 0.446
0.667 0.333 0.951
0.830 0.170 0.696
0.830 0.661 0.696
```

* energy: -2.729 eV per atom
* DFT formation energy: -0.304 eV/atom
* ΔE to the lowest computed polymorph: 17 meV/atom
* space group: P3m1, No. 156
* total magnetic moment: 0.00 μB per atom
* Fermi-level density of states: 7.13 states/eV/cell


The following is a DFT calculation (PBE-GGA) of Nd3Dy4Zn after structural relaxation.

Geometry as POSCAR:
```
Nd3Dy4Zn
1.0
3.595 0.000 0.000
0.000 3.595 0.000
0.000 0.000 19.002
Nd Dy Zn
3 4 1
Direct
0.000 0.000 0.000
0.000 0.000 0.270
0.000 0.000 0.730
0.500 0.500 0.135
0.500 0.500 0.407
0.500 0.500 0.593
0.500 0.500 0.865
0.000 0.000 0.500
```

* energy: -4.322 eV per atom
* DFT formation energy: -0.074 eV/atom
* space group: P4/mmm, No. 123
* total magnetic moment: 0.00 μB per atom
* Fermi-level density of states: 9.45 states/eV/cell


The following is a DFT calculation (PBE-GGA) of Nd3DyZn8 after structural relaxation.

Geometry as POSCAR:
```
Nd3DyZn8
1.0
2.780 1.605 9.037
-2.780 1.605 9.037
0.000 -3.210 9.037
Nd Dy Zn
3 1 8
Direct
0.000 0.000 0.000
0.125 0.125 0.125
0.626 0.626 0.626
0.501 0.501 0.501
0.063 0.063 0.560
0.063 0.560 0.063
0.066 0.563 0.563
0.313 0.313 0.313
0.560 0.063 0.063
0.563 0.066 0.563
0.563 0.563 0.066
0.813 0.813 0.813
```

* energy: -2.745 eV per atom
* DFT formation energy: -0.321 eV/atom
* ΔE to the lowest computed polymorph: 0 meV/atom
* space group: R3m, No. 160
* total magnetic moment: 0.00 μB per atom
* Fermi-level density of states: 5.21 states/eV/cell


The following is a DFT calculation (PBE-GGA) of NdDy2Zn6 after structural relaxation.

Geometry as POSCAR:
```
NdDy2Zn6
1.0
7.818 0.000 0.000
-3.909 6.771 0.000
0.000 0.000 3.535
Nd Dy Zn
1 2 6
Direct
0.000 0.000 0.000
0.333 0.667 0.000
0.667 0.333 0.000
0.000 0.336 0.500
0.000 0.664 0.500
0.336 0.000 0.500
0.336 0.336 0.500
0.664 0.000 0.500
0.664 0.664 0.500
```

* energy: -2.767 eV per atom
* DFT formation energy: -0.366 eV/atom
* space group: P6/mmm, No. 191
* total magnetic moment: 0.00 μB per atom
* Fermi-level density of states: 7.06 states/eV/cell


The following is a DFT calculation (PBE-GGA) of NdDy3Zn8 after structural relaxation.

Geometry as POSCAR:
```
NdDy3Zn8
1.0
5.580 0.000 0.000
-2.790 4.833 0.000
0.000 0.000 8.678
Nd Dy Zn
1 3 8
Direct
0.000 0.000 0.000
0.000 0.000 0.389
0.667 0.333 0.506
0.667 0.333 0.891
0.167 0.334 0.692
0.167 0.833 0.692
0.333 0.667 0.445
0.333 0.667 0.948
0.502 0.003 0.199
0.502 0.498 0.199
0.666 0.833 0.692
0.997 0.498 0.199
```

* energy: -2.713 eV per atom
* DFT formation energy: -0.315 eV/atom
* space group: P3m1, No. 156
* total magnetic moment: 0.00 μB per atom
* Fermi-level density of states: 7.66 states/eV/cell


The following is a DFT calculation (PBE-GGA) of Nd2DyZn after structural relaxation.

Geometry as POSCAR:
```
Nd2DyZn
1.0
1.834 1.059 10.504
-1.834 1.059 10.504
0.000 -2.117 10.504
Nd Dy Zn
2 1 1
Direct
0.000 0.000 0.000
0.187 0.187 0.187
0.760 0.760 0.760
0.594 0.594 0.594
```

* energy: -3.875 eV per atom
* DFT formation energy: -0.022 eV/atom
* ΔE to the lowest computed polymorph: 133 meV/atom
* space group: R3m, No. 160
* total magnetic moment: 0.00 μB per atom
* Fermi-level density of states: 5.06 states/eV/cell


The following is a DFT calculation (PBE-GGA) of Nd2Dy2Zn after structural relaxation.

Geometry as POSCAR:
```
Nd2Dy2Zn
1.0
-1.801 1.801 11.366
1.801 -1.801 11.366
1.801 1.801 -11.366
Nd Dy Zn
2 2 1
Direct
0.192 0.192 0.000
0.808 0.808 0.000
0.423 0.423 0.000
0.577 0.577 0.000
0.000 0.000 0.000
```

* energy: -4.131 eV per atom
* DFT formation energy: -0.128 eV/atom
* ΔE to the lowest computed polymorph: 0 meV/atom
* space group: I4/mmm, No. 139
* total magnetic moment: 0.00 μB per atom
* Fermi-level density of states: 5.82 states/eV/cell


The following is a DFT calculation (PBE-GGA) of Nd3Dy4Zn4 after structural relaxation.

Geometry as POSCAR:
```
Nd3Dy4Zn4
1.0
-2.442 3.873 7.889
2.442 -3.873 7.889
2.442 3.873 -7.889
Nd Dy Zn
3 4 4
Direct
0.000 0.000 0.000
0.389 0.889 0.500
0.611 0.111 0.500
0.041 0.327 0.713
0.386 0.673 0.713
0.614 0.327 0.287
0.959 0.673 0.287
0.209 0.209 0.000
0.332 0.500 0.832
0.668 0.500 0.168
0.791 0.791 0.000
```

* energy: -3.573 eV per atom
* DFT formation energy: -0.136 eV/atom
* space group: Immm, No. 71
* total magnetic moment: 0.00 μB per atom
* Fermi-level density of states: 10.90 states/eV/cell


The following is a DFT calculation (PBE-GGA) of Nd2DyZn after structural relaxation.

Geometry as POSCAR:
```
Nd2DyZn
1.0
1.820 1.051 10.589
-1.820 1.051 10.589
0.000 -2.101 10.589
Nd Dy Zn
2 1 1
Direct
0.240 0.240 0.240
0.760 0.760 0.760
0.000 0.000 0.000
0.500 0.500 0.500
```

* energy: -3.877 eV per atom
* DFT formation energy: -0.024 eV/atom
* ΔE to the lowest computed polymorph: 131 meV/atom
* space group: R-3m, No. 166
* total magnetic moment: 0.00 μB per atom
* Fermi-level density of states: 4.21 states/eV/cell


The following is a DFT calculation (PBE-GGA) of Nd2Dy3Zn3 after structural relaxation.

Geometry as POSCAR:
```
Nd2Dy3Zn3
1.0
-1.830 2.583 10.916
1.830 -2.583 10.916
1.830 2.583 -10.916
Nd Dy Zn
2 3 3
Direct
0.227 0.227 0.000
0.773 0.773 0.000
0.000 0.000 0.000
0.385 0.885 0.500
0.615 0.115 0.500
0.111 0.611 0.500
0.500 0.500 0.000
0.889 0.389 0.500
```

* energy: -3.624 eV per atom
* DFT formation energy: -0.229 eV/atom
* space group: Immm, No. 71
* total magnetic moment: 0.00 μB per atom
* Fermi-level density of states: 7.93 states/eV/cell